A geometry-optimized CaTa2Cl structure, computed with PBE-GGA.

Geometry as CIF:
```
data_CaTa2Cl
_chemical_formula_sum 'Ca2 Ta4 Cl2'
_cell_length_a 5.403
_cell_length_b 13.368
_cell_length_c 3.228
_cell_angle_alpha 90.00
_cell_angle_beta 126.24
_cell_angle_gamma 90.00
_symmetry_space_group_name_H-M 'C 1 2/m 1'
_symmetry_Int_Tables_number 12
_symmetry_space_group_name_Hall '-C 2y'
loop_
_atom_site_label
_atom_site_type_symbol
_atom_site_fract_x
_atom_site_fract_y
_atom_site_fract_z
Ca1 Ca 0.000 0.000 0.000
Ta1 Ta 0.250 0.250 0.500
Cl1 Cl 0.000 0.500 0.000
```

Calculated values
DOS(E_F), states/eV/atom: 0.994
E_tot, eV per atom: -6.723
E above lowest polymorph, eV/atom: 0.284
Energy relative to the elements, uncorrected, eV per atom: 0.165